# 1
Material: Tl2InHg
Method: DFT, meta-GGA SCAN
State: single point on PBEsol structure

POSCAR file:
```
Tl2InHg
1.0
-1.160 0.539 -2.956
-2.395 -0.344 2.126
0.145 10.748 1.905
Tl Hg In
2 1 1
direct
0.000 0.000 0.255 Tl
0.000 0.000 0.745 Tl
0.500 0.500 0.500 Hg
0.500 0.500 0.000 In
```

The calculated formation energy is 0.04 eV per atom. The density of states at the Fermi level is 1.9 states/eV/f.u. As for the volume: 105.8 Å³ per cell.

---

# 2
Material: TlInHg
Method: DFT, meta-GGA SCAN
State: single point on PBEsol structure

POSCAR file:
```
TlInHg
1.0
-2.155 -1.943 -1.419
-0.508 -2.701 4.472
-3.103 4.128 -0.940
Tl Hg In
1 1 1
direct
0.333 0.667 0.333 Tl
0.832 0.000 0.000 Hg
0.835 0.333 0.667 In
```

The calculated formation energy is 0.01 eV per atom. The density of states at the Fermi level is 1.1 states/eV/f.u. As for the volume: 77.1 Å³ per cell.

---

# 3
Material: Tl2InHg
Method: DFT, meta-GGA SCAN
State: single point on PBEsol structure

POSCAR file:
```
Tl2InHg
1.0
-3.277 -1.064 -1.237
2.304 -4.063 -2.610
-0.616 -3.125 4.319
Tl Hg In
2 1 1
direct
0.000 0.000 0.000 Tl
0.500 0.000 0.500 Tl
0.500 0.500 0.000 Hg
0.000 0.500 0.500 In
```

The calculated formation energy is 0.04 eV per atom. The density of states at the Fermi level is 2.1 states/eV/f.u. As for the volume: 105.1 Å³ per cell.

---

# 4
Material: Tl2InHg
Method: DFT, meta-GGA SCAN
State: single point on PBEsol structure

POSCAR file:
```
Tl2InHg
1.0
3.571 0.000 0.000
0.000 5.418 0.000
-1.786 -2.709 5.434
Tl Hg In
2 1 1
direct
0.994 0.994 0.989 Tl
0.761 0.261 0.523 Tl
0.507 0.507 0.014 Hg
0.237 0.737 0.474 In
```

The calculated formation energy is 0.03 eV per atom. The density of states at the Fermi level is 1.9 states/eV/f.u. As for the volume: 105.1 Å³ per cell.

---

# 5
Material: TlInHg2
Method: DFT, meta-GGA SCAN
State: single point on PBEsol structure

POSCAR file:
```
TlInHg2
1.0
-2.923 0.544 -4.287
-5.190 0.349 0.408
-2.394 4.534 -0.967
Tl Hg In
1 2 1
direct
0.250 0.250 0.250 Tl
0.000 0.000 0.000 Hg
0.750 0.750 0.750 Hg
0.500 0.500 0.500 In
```

The calculated formation energy is 0.06 eV per atom. The density of states at the Fermi level is 1.9 states/eV/f.u. As for the volume: 100.4 Å³ per cell.

---

# 6
Material: Tl2InHg
Method: DFT, meta-GGA SCAN
State: single point on PBEsol structure

POSCAR file:
```
Tl2InHg
1.0
3.593 0.000 0.000
0.000 3.593 0.000
0.000 0.000 8.129
Tl Hg In
2 1 1
direct
0.000 0.000 0.989 Tl
0.500 0.500 0.269 Tl
0.000 0.000 0.513 Hg
0.500 0.500 0.729 In
```

The calculated formation energy is 0.02 eV per atom. The density of states at the Fermi level is 1.9 states/eV/f.u. As for the volume: 105.0 Å³ per cell.